Record 1
K3LiI2O9: optimized geometry, GGA-PBE.

Output
energy relative to the elements, uncorrected: -0.9045 eV per atom

Unit cell a=5.791 b=5.791 c=7.191 alpha=90.00 beta=90.00 gamma=120.00
Fractional coordinates of all 15 atoms:
K: 0.333 0.667 0.659
K: 0.000 0.000 0.000
K: 0.667 0.333 0.341
O: 0.500 0.500 0.000
O: 0.000 0.500 0.000
O: 0.353 0.177 0.689
O: 0.177 0.353 0.311
O: 0.647 0.823 0.311
O: 0.500 0.000 0.000
O: 0.823 0.177 0.689
O: 0.177 0.823 0.311
O: 0.823 0.647 0.689
Li: 0.000 0.000 0.500
I: 0.333 0.667 0.177
I: 0.667 0.333 0.823


Record 2
KLiIO2: optimized geometry, GGA-PBE.

Output
energy relative to the elements, uncorrected: -0.3291 eV per atom

Unit cell a=4.591 b=4.591 c=5.528 alpha=90.00 beta=90.00 gamma=90.00
Fractional coordinates of all 5 atoms:
O: 0.500 0.000 0.000
O: 0.000 0.500 0.000
Li: 0.000 0.000 0.000
K: 0.500 0.500 0.500
I: 0.000 0.000 0.500


Record 3
KLiPbI4: optimized geometry, GGA-PBE.

Output
energy relative to the elements, uncorrected: -1.0065 eV per atom

Unit cell a=7.733 b=8.281 c=9.533 alpha=90.00 beta=107.37 gamma=90.00
Fractional coordinates of all 14 atoms:
K: 0.774 0.750 0.947
K: 0.226 0.250 0.053
Pb: 0.781 0.750 0.446
Pb: 0.219 0.250 0.554
I: 0.457 0.750 0.145
I: 0.543 0.250 0.855
I: 0.994 0.002 0.272
I: 0.532 0.250 0.401
I: 0.468 0.750 0.599
I: 0.006 0.502 0.728
I: 0.994 0.498 0.272
I: 0.006 0.998 0.728
Li: 0.760 0.250 0.678
Li: 0.240 0.750 0.322


Record 4
K2LiPbI5: optimized geometry, GGA-PBE.

Output
energy relative to the elements, uncorrected: -1.1423 eV per atom

Unit cell a=4.760 b=10.527 c=15.546 alpha=90.00 beta=90.00 gamma=103.07
Fractional coordinates of all 18 atoms:
I: 0.500 0.999 0.775
I: 0.500 0.001 0.275
I: 0.697 0.393 0.886
I: 0.637 0.274 0.504
I: 0.303 0.607 0.386
I: 0.281 0.562 0.677
I: 0.951 0.902 0.525
I: 0.719 0.438 0.177
I: 0.363 0.726 0.004
I: 0.049 0.098 0.025
Li: 0.440 0.881 0.431
Li: 0.560 0.119 0.931
Pb: 0.208 0.417 0.031
Pb: 0.792 0.583 0.531
K: 0.097 0.194 0.669
K: 0.122 0.245 0.326
K: 0.878 0.755 0.826
K: 0.903 0.806 0.169


Question: Which formula does entry 3 have?
Answer: KLiPbI4


Question: Which formula does entry 2 have?
Answer: KLiIO2


Question: The highest energy relative to the elements, uncorrected belongs to which entry?
Answer: KLiIO2